CeHo2UAs4 | Alexandria via LeMat-Bulk | GGA-PBE | relaxed; E_tot = -6.918 eV per atom; energy of formation from the pure elements = -1296 meV per atom; mass density = 8.4 g/cm3; symmetry = P2/m (10)
1.0
7.135 0.000 0.000
0.000 4.112 0.000
-2.368 0.000 6.766
Ce Ho U As
1 2 1 4
direct
0.000 0.000 0.000 Ce
0.000 0.500 0.500 Ho
0.500 0.000 0.500 Ho
0.500 0.500 0.000 U
0.254 0.000 0.749 As
0.256 0.500 0.253 As
0.744 0.500 0.747 As
0.746 0.000 0.251 As

=====

BaCd6Hg8 | Alexandria via LeMat-Bulk | GGA-PBE | relaxed; E_tot = -0.735 eV per atom; energy of formation from the pure elements = -79 meV per atom; mass density = 9.9 g/cm3; symmetry = R-3 (148)
1.0
4.642 2.680 5.406
-4.642 2.680 5.406
0.000 -5.360 5.406
Ba Cd Hg
1 6 8
direct
0.000 0.000 0.000 Ba
0.175 0.575 0.367 Cd
0.367 0.175 0.575 Cd
0.425 0.633 0.825 Cd
0.575 0.367 0.175 Cd
0.633 0.825 0.425 Cd
0.825 0.425 0.633 Cd
0.129 0.442 0.819 Hg
0.181 0.871 0.558 Hg
0.221 0.221 0.221 Hg
0.442 0.819 0.129 Hg
0.558 0.181 0.871 Hg
0.779 0.779 0.779 Hg
0.819 0.129 0.442 Hg
0.871 0.558 0.181 Hg